Computed, not measured: a geometry-optimized HoLuZnTc structure at the PBE level of DFT.

## Properties
formation enthalpy at 0 K	-0.18	eV/atom
total energy	-5.369	eV/atom
size of the total moment	0.00	μB per cell

Unit cell a=4.8655 b=4.8655 c=4.8655 alpha=60.00 beta=60.00 gamma=60.00
With the nearest neighbours (Å) after each atom.
Element x y z (fractional)
Ho 0.0000 0.0000 0.0000  4 Tc 2.98, 4 Zn 2.98
Lu 0.5000 0.5000 0.5000  4 Tc 2.98, 4 Zn 2.98
Zn 0.7500 0.7500 0.7500  4 Ho 2.98, 4 Lu 2.98
Tc 0.2500 0.2500 0.2500  4 Ho 2.98, 4 Lu 2.98


Computed, not measured: a geometry-optimized BaScGaO4 structure at the PBE level of DFT.

## Properties
ΔE_f (raw)	-2614.4	meV/atom
total energy	-7.059	eV/atom
size of the total moment	0.00	μB per cell

Unit cell a=5.6143 b=5.7075 c=7.2098 alpha=90.00 beta=109.45 gamma=90.00
With the nearest neighbours (Å) after each atom.
Element x y z (fractional)
Ba 0.2158 0.2500 0.4433  2 O 2.50-2.56
Ba 0.7842 0.7500 0.5567  2 O 2.50-2.56
Sc 0.3261 0.2500 0.9762  5 O 2.05-2.26
Sc 0.6739 0.7500 0.0238  5 O 2.05-2.26
Ga 0.2319 0.7500 0.1581  4 O 1.82-1.91
Ga 0.7681 0.2500 0.8419  4 O 1.82-1.91
O 0.0252 0.2500 0.0763  1 Ga 1.82
O 0.0524 0.7500 0.3309  1 Ga 1.85
O 0.4823 0.5154 0.1839  1 Ga 1.91, 1 Sc 2.11
O 0.4823 0.9846 0.1839  1 Ga 1.91, 1 Sc 2.11
O 0.5177 0.0154 0.8161  1 Ga 1.91, 1 Sc 2.11
O 0.5177 0.4846 0.8161  1 Ga 1.91, 1 Sc 2.11
O 0.9476 0.2500 0.6691  1 Ga 1.85
O 0.9748 0.7500 0.9237  1 Ga 1.82


Computed, not measured: a geometry-optimized AcPb structure at the PBE level of DFT.

## Properties
formation enthalpy at 0 K	-0.54	eV/atom
total energy	-4.444	eV/atom
size of the total moment	0.00	μB per cell

Unit cell a=6.7930 b=6.7930 c=4.7202 alpha=90.00 beta=90.00 gamma=136.57
With the nearest neighbours (Å) after each atom.
Element x y z (fractional)
Ac 0.1352 0.8648 0.7500  7 Pb 3.47-3.79
Ac 0.8648 0.1352 0.2500  7 Pb 3.47-3.79
Pb 0.4101 0.5899 0.7500  2 Pb 3.27, 5 Ac 3.47-3.49
Pb 0.5899 0.4101 0.2500  2 Pb 3.27, 5 Ac 3.47-3.49


Computed, not measured: a geometry-optimized HfBe2Co4Si structure at the PBE level of DFT.

## Properties
ΔE_f (raw)	-423.7	meV/atom
total energy	-6.830	eV/atom
size of the total moment	0.00	μB per cell

Unit cell a=6.9589 b=6.9589 c=6.9589 alpha=32.80 beta=32.80 gamma=32.80
With the nearest neighbours (Å) after each atom.
Element x y z (fractional)
Hf 0.0000 0.0000 0.0000  8 Co 2.49-2.57
Be 0.2477 0.2477 0.2477  7 Co 2.32-2.43
Be 0.7523 0.7523 0.7523  7 Co 2.32-2.43
Co 0.1300 0.1300 0.1300  4 Be 2.32-2.43, 3 Si 2.38, 1 Hf 2.57
Co 0.3857 0.3857 0.3857  1 Si 2.26, 3 Be 2.36, 3 Hf 2.49
Co 0.6143 0.6143 0.6143  1 Si 2.26, 3 Be 2.36, 3 Hf 2.49
Co 0.8700 0.8700 0.8700  4 Be 2.32-2.43, 3 Si 2.38, 1 Hf 2.57
Si 0.5000 0.5000 0.5000  8 Co 2.26-2.38


Computed, not measured: a geometry-optimized LiHfBi structure at the PBE level of DFT.

## Properties
formation enthalpy at 0 K	0.16	eV/atom
total energy	-5.086	eV/atom
size of the total moment	0.78	μB per cell

Unit cell a=11.8695 b=11.8695 c=11.8695 alpha=163.19 beta=163.19 gamma=23.87
With the nearest neighbours (Å) after each atom.
Element x y z (fractional)
Li 0.2151 0.2151 0.0000  5 Bi 2.91-3.18, 4 Li 2.94
Li 0.7849 0.7849 0.0000  5 Bi 2.91-3.18, 4 Li 2.94
Hf 0.0620 0.0620 0.0000  1 Hf 2.88, 4 Bi 3.16
Hf 0.9380 0.9380 0.0000  1 Hf 2.88, 4 Bi 3.16
Bi 0.3521 0.3521 0.0000  5 Li 2.91-3.18, 4 Hf 3.16
Bi 0.6479 0.6479 0.0000  5 Li 2.91-3.18, 4 Hf 3.16


Computed, not measured: a geometry-optimized PmSbPtRh structure at the PBE level of DFT.

## Properties
ΔE_f (raw)	-652.5	meV/atom
total energy	-6.219	eV/atom
size of the total moment	0.00	μB per cell

Unit cell a=4.8592 b=4.8592 c=4.8592 alpha=60.00 beta=60.00 gamma=60.00
With the nearest neighbours (Å) after each atom.
Element x y z (fractional)
Pm 0.0000 0.0000 0.0000  4 Rh 2.98, 4 Pt 2.98
Sb 0.5000 0.5000 0.5000  4 Rh 2.98, 4 Pt 2.98
Pt 0.2500 0.2500 0.2500  4 Sb 2.98, 4 Pm 2.98
Rh 0.7500 0.7500 0.7500  4 Sb 2.98, 4 Pm 2.98


Computed, not measured: a geometry-optimized SrCd2Te2 structure at the PBE level of DFT.

## Properties
ΔE_f (raw)	-612.8	meV/atom
total energy	-2.572	eV/atom
size of the total moment	0.00	μB per cell

Unit cell a=6.3572 b=6.3572 c=6.3572 alpha=126.78 beta=126.78 gamma=78.62
With the nearest neighbours (Å) after each atom.
Element x y z (fractional)
Sr 0.0000 0.0000 0.0000  2 Cd 3.57, 8 Te 3.76
Cd 0.3625 0.3625 0.0000  1 Cd 2.70
Cd 0.6375 0.6375 0.0000  1 Cd 2.70
Te 0.2500 0.7500 0.5000  4 Cd 3.06
Te 0.7500 0.2500 0.5000  4 Cd 3.06


Computed, not measured: a geometry-optimized CdB2Se structure at the PBE level of DFT.

## Properties
ΔE_f (raw)	1681.1	meV/atom
total energy	-2.758	eV/atom
size of the total moment	0.00	μB per cell

Unit cell a=4.3619 b=4.3619 c=4.3619 alpha=60.00 beta=60.00 gamma=60.00
With the nearest neighbours (Å) after each atom.
Element x y z (fractional)
Cd 0.0000 0.0000 0.0000  8 B 2.67
B 0.2500 0.2500 0.2500  4 Se 2.67, 4 Cd 2.67
B 0.7500 0.7500 0.7500  4 Se 2.67, 4 Cd 2.67
Se 0.5000 0.5000 0.5000  8 B 2.67


Computed, not measured: a geometry-optimized FeSi structure at the PBE level of DFT.

## Properties
ΔE_f (raw)	-261.9	meV/atom
total energy	-7.205	eV/atom
size of the total moment	1.08	μB per cell

Unit cell a=6.9302 b=6.9302 c=6.9302 alpha=157.59 beta=157.59 gamma=31.90
With the nearest neighbours (Å) after each atom.
Element x y z (fractional)
Fe 0.1888 0.1888 0.0000  4 Si 2.32, 4 Fe 2.51
Fe 0.8112 0.8112 0.0000  4 Si 2.32, 4 Fe 2.51
Si 0.4110 0.4110 0.0000  4 Fe 2.32, 1 Si 2.37
Si 0.5890 0.5890 0.0000  4 Fe 2.32, 1 Si 2.37


Computed, not measured: a geometry-optimized LaMgFe2 structure at the PBE level of DFT.

## Properties
formation enthalpy at 0 K	0.26	eV/atom
total energy	-5.602	eV/atom
size of the total moment	4.06	μB per cell

Unit cell a=5.8866 b=5.8866 c=5.8866 alpha=146.82 beta=134.02 gamma=57.87
With the nearest neighbours (Å) after each atom.
Element x y z (fractional)
La 0.0000 0.0000 0.0000  6 Fe 2.94-3.26, 2 Mg 3.26
Mg 0.2757 0.7757 0.5000  6 Fe 2.90-3.11
Fe 0.5719 0.5719 0.0000  2 Fe 2.30
Fe 0.7248 0.2248 0.5000  2 Fe 2.30


Computed, not measured: a geometry-optimized LaTb2Ir structure at the PBE level of DFT.

## Properties
formation enthalpy at 0 K	-0.37	eV/atom
total energy	-6.137	eV/atom
size of the total moment	0.00	μB per cell

Unit cell a=9.2209 b=9.2209 c=9.2209 alpha=25.45 beta=25.45 gamma=25.45
With the nearest neighbours (Å) after each atom.
Element x y z (fractional)
La 0.0000 0.0000 0.0000  6 Tb 3.75-3.87, 6 La 4.06
Tb 0.2238 0.2238 0.2238  3 Ir 2.76
Tb 0.4482 0.4482 0.4482  3 Ir 2.76
Ir 0.8360 0.8360 0.8360  6 Tb 2.76


Computed, not measured: a geometry-optimized Ho6TmIn structure at the PBE level of DFT.

## Properties
formation enthalpy at 0 K	-0.12	eV/atom
total energy	-4.451	eV/atom
size of the total moment	0.00	μB per cell

Unit cell a=4.8775 b=4.8775 c=9.9183 alpha=90.00 beta=90.00 gamma=90.00
With the nearest neighbours (Å) after each atom.
Element x y z (fractional)
Ho 0.0000 0.0000 0.0000  8 Ho 3.45, 4 In 3.45
Ho 0.0000 0.0000 0.5000  4 Tm 3.45, 8 Ho 3.51
Ho 0.0000 0.5000 0.2456  2 In 3.45, 8 Ho 3.45-3.51, 2 Tm 3.51
Ho 0.0000 0.5000 0.7544  2 In 3.45, 8 Ho 3.45-3.51, 2 Tm 3.51
Ho 0.5000 0.0000 0.2456  2 In 3.45, 8 Ho 3.45-3.51, 2 Tm 3.51
Ho 0.5000 0.0000 0.7544  2 In 3.45, 8 Ho 3.45-3.51, 2 Tm 3.51
Tm 0.5000 0.5000 0.5000  12 Ho 3.45-3.51
In 0.5000 0.5000 0.0000  12 Ho 3.45